A.
The following is a DFT calculation (PBE) of a relaxed structure of LiFeNiAs.

Cell lengths 3.962, 3.962, 3.962 Å; angles 60.00, 60.00, 60.00 degrees
Atoms (fractional coordinates):
1 Li 0.000 0.000 0.000
2 Fe 0.750 0.750 0.750
3 Ni 0.250 0.250 0.250
4 As 0.500 0.500 0.500

Values from the calculation:
Crystal system ... cubic
Space-group type ... F-43m, No. 216
Calculated density ... 7.42 g cm⁻³
V ... 44 Å³ per cell
Total magnetic moment ... 0.3 μB per formula unit

B.
The following is a DFT calculation (PBE) of a relaxed structure of LiFeNiAs.

Cell lengths 4.064, 4.064, 4.064 Å; angles 60.00, 60.00, 60.00 degrees
Atoms (fractional coordinates):
1 Li 0.000 0.000 0.000
2 Fe 0.500 0.500 0.500
3 Ni 0.750 0.750 0.750
4 As 0.250 0.250 0.250

Values from the calculation:
Crystal system ... cubic
Space-group type ... F-43m, No. 216
Calculated density ... 6.87 g cm⁻³
V ... 47 Å³ per cell
Total magnetic moment ... 2.5 μB per formula unit

Energy comparison, zero being the most stable, in meV/atom: A 0; B 42.

A.
The following is a DFT calculation (PBE) of a relaxed structure of LiFeAsOs.

Cell lengths 4.145, 4.145, 4.145 Å; angles 60.00, 60.00, 60.00 degrees
Atoms (fractional coordinates):
1 Li 0.000 0.000 0.000
2 Fe 0.500 0.500 0.500
3 As 0.250 0.250 0.250
4 Os 0.750 0.750 0.750

Values from the calculation:
Crystal system ... cubic
Space-group type ... F-43m, No. 216
Calculated density ... 10.81 g cm⁻³
V ... 50 Å³ per cell
Total magnetic moment ... 3.1 μB per formula unit

B.
The following is a DFT calculation (PBE) of a relaxed structure of LiFeAsOs.

Cell lengths 4.082, 4.082, 4.082 Å; angles 60.00, 60.00, 60.00 degrees
Atoms (fractional coordinates):
1 Li 0.000 0.000 0.000
2 Fe 0.750 0.750 0.750
3 As 0.500 0.500 0.500
4 Os 0.250 0.250 0.250

Values from the calculation:
Crystal system ... cubic
Space-group type ... F-43m, No. 216
Calculated density ... 11.32 g cm⁻³
V ... 48 Å³ per cell
Total magnetic moment ... 1.2 μB per formula unit

Energy comparison, zero being the most stable, in meV/atom: A 130; B 0.

A.
The following is a DFT calculation (PBE) of a relaxed structure of LiFeAsPt.

Cell lengths 4.273, 4.273, 4.273 Å; angles 60.00, 60.00, 60.00 degrees
Atoms (fractional coordinates):
1 Li 0.000 0.000 0.000
2 Fe 0.500 0.500 0.500
3 As 0.250 0.250 0.250
4 Pt 0.750 0.750 0.750

Values from the calculation:
Crystal system ... cubic
Space-group type ... F-43m, No. 216
Calculated density ... 10.02 g cm⁻³
V ... 55 Å³ per cell
Total magnetic moment ... 2.6 μB per formula unit

B.
The following is a DFT calculation (PBE) of a relaxed structure of LiFeAsPt.

Cell lengths 4.233, 4.233, 4.233 Å; angles 60.00, 60.00, 60.00 degrees
Atoms (fractional coordinates):
1 Li 0.000 0.000 0.000
2 Fe 0.750 0.750 0.750
3 As 0.500 0.500 0.500
4 Pt 0.250 0.250 0.250

Values from the calculation:
Crystal system ... cubic
Space-group type ... F-43m, No. 216
Calculated density ... 10.30 g cm⁻³
V ... 54 Å³ per cell
Total magnetic moment ... 2.4 μB per formula unit

Energy comparison, zero being the most stable, in meV/atom: A 0; B 16.

A.
The following is a DFT calculation (PBE) of a relaxed structure of LiFeReAs.

Cell lengths 4.128, 4.128, 4.128 Å; angles 60.00, 60.00, 60.00 degrees
Atoms (fractional coordinates):
1 Li 0.000 0.000 0.000
2 Fe 0.500 0.500 0.500
3 Re 0.750 0.750 0.750
4 As 0.250 0.250 0.250

Values from the calculation:
Crystal system ... cubic
Space-group type ... F-43m, No. 216
Calculated density ... 10.81 g cm⁻³
V ... 50 Å³ per cell
Total magnetic moment ... 2.0 μB per formula unit

B.
The following is a DFT calculation (PBE) of a relaxed structure of LiFeReAs.

Cell lengths 4.109, 4.109, 4.109 Å; angles 60.00, 60.00, 60.00 degrees
Atoms (fractional coordinates):
1 Li 0.000 0.000 0.000
2 Fe 0.750 0.750 0.750
3 Re 0.250 0.250 0.250
4 As 0.500 0.500 0.500

Values from the calculation:
Crystal system ... cubic
Space-group type ... F-43m, No. 216
Calculated density ... 10.96 g cm⁻³
V ... 49 Å³ per cell
Total magnetic moment ... 1.8 μB per formula unit

Energy comparison, zero being the most stable, in meV/atom: A 61; B 0.

A.
The following is a DFT calculation (PBE) of a relaxed structure of LiScFeAs.

Cell lengths 4.440, 4.440, 4.440 Å; angles 60.00, 60.00, 60.00 degrees
Atoms (fractional coordinates):
1 Li 0.000 0.000 0.000
2 Sc 0.500 0.500 0.500
3 Fe 0.750 0.750 0.750
4 As 0.250 0.250 0.250

Values from the calculation:
Crystal system ... cubic
Space-group type ... F-43m, No. 216
Calculated density ... 4.90 g cm⁻³
V ... 62 Å³ per cell
Total magnetic moment ... 2.0 μB per formula unit

B.
The following is a DFT calculation (PBE) of a relaxed structure of LiScFeAs.

Cell lengths 4.303, 4.303, 4.303 Å; angles 60.00, 60.00, 60.00 degrees
Atoms (fractional coordinates):
1 Li 0.000 0.000 0.000
2 Sc 0.250 0.250 0.250
3 Fe 0.750 0.750 0.750
4 As 0.500 0.500 0.500

Values from the calculation:
Crystal system ... cubic
Space-group type ... F-43m, No. 216
Calculated density ... 5.38 g cm⁻³
V ... 56 Å³ per cell
Total magnetic moment ... 1.0 μB per formula unit

Energy comparison, zero being the most stable, in meV/atom: A 24; B 0.

A.
The following is a DFT calculation (PBE) of a relaxed structure of LiZnFeAs.

Cell lengths 4.137, 4.137, 4.137 Å; angles 60.00, 60.00, 60.00 degrees
Atoms (fractional coordinates):
1 Li 0.000 0.000 0.000
2 Zn 0.750 0.750 0.750
3 Fe 0.500 0.500 0.500
4 As 0.250 0.250 0.250

Values from the calculation:
Crystal system ... cubic
Space-group type ... F-43m, No. 216
Calculated density ... 6.74 g cm⁻³
V ... 50 Å³ per cell
Total magnetic moment ... 1.5 μB per formula unit

B.
The following is a DFT calculation (PBE) of a relaxed structure of LiZnFeAs.

Cell lengths 4.158, 4.158, 4.158 Å; angles 60.00, 60.00, 60.00 degrees
Atoms (fractional coordinates):
1 Li 0.000 0.000 0.000
2 Zn 0.250 0.250 0.250
3 Fe 0.750 0.750 0.750
4 As 0.500 0.500 0.500

Values from the calculation:
Crystal system ... cubic
Space-group type ... F-43m, No. 216
Calculated density ... 6.63 g cm⁻³
V ... 51 Å³ per cell
Total magnetic moment ... 1.8 μB per formula unit

Energy comparison, zero being the most stable, in meV/atom: A 0; B 199.

A.
The following is a DFT calculation (PBE) of a relaxed structure of LiZrFeAs.

Cell lengths 4.262, 4.262, 4.262 Å; angles 60.00, 60.00, 60.00 degrees
Atoms (fractional coordinates):
1 Li 0.000 0.000 0.000
2 Zr 0.750 0.750 0.750
3 Fe 0.500 0.500 0.500
4 As 0.250 0.250 0.250

Values from the calculation:
Crystal system ... cubic
Space-group type ... F-43m, No. 216
Calculated density ... 6.95 g cm⁻³
V ... 55 Å³ per cell
Total magnetic moment ... 0.0 μB per formula unit

B.
The following is a DFT calculation (PBE) of a relaxed structure of LiZrFeAs.

Cell lengths 4.386, 4.386, 4.386 Å; angles 60.00, 60.00, 60.00 degrees
Atoms (fractional coordinates):
1 Li 0.000 0.000 0.000
2 Zr 0.750 0.750 0.750
3 Fe 0.250 0.250 0.250
4 As 0.500 0.500 0.500

Values from the calculation:
Crystal system ... cubic
Space-group type ... F-43m, No. 216
Calculated density ... 6.37 g cm⁻³
V ... 60 Å³ per cell
Total magnetic moment ... 1.9 μB per formula unit

Energy comparison, zero being the most stable, in meV/atom: A 0; B 360.

A.
The following is a DFT calculation (PBE) of a relaxed structure of LuFeAsOs.

Cell lengths 4.579, 4.579, 4.579 Å; angles 60.00, 60.00, 60.00 degrees
Atoms (fractional coordinates):
1 Lu 0.000 0.000 0.000
2 Fe 0.500 0.500 0.500
3 As 0.250 0.250 0.250
4 Os 0.750 0.750 0.750

Values from the calculation:
Crystal system ... cubic
Space-group type ... F-43m, No. 216
Calculated density ... 12.13 g cm⁻³
V ... 68 Å³ per cell
Total magnetic moment ... 4.1 μB per formula unit

B.
The following is a DFT calculation (PBE) of a relaxed structure of LuFeAsOs.

Cell lengths 4.416, 4.416, 4.416 Å; angles 60.00, 60.00, 60.00 degrees
Atoms (fractional coordinates):
1 Lu 0.000 0.000 0.000
2 Fe 0.750 0.750 0.750
3 As 0.500 0.500 0.500
4 Os 0.250 0.250 0.250

Values from the calculation:
Crystal system ... cubic
Space-group type ... F-43m, No. 216
Calculated density ... 13.53 g cm⁻³
V ... 61 Å³ per cell
Total magnetic moment ... 0.0 μB per formula unit

Energy comparison, zero being the most stable, in meV/atom: A 146; B 0.

A.
The following is a DFT calculation (PBE) of a relaxed structure of LuFeAsPd.

Cell lengths 4.600, 4.600, 4.600 Å; angles 60.00, 60.00, 60.00 degrees
Atoms (fractional coordinates):
1 Lu 0.000 0.000 0.000
2 Fe 0.500 0.500 0.500
3 As 0.250 0.250 0.250
4 Pd 0.750 0.750 0.750

Values from the calculation:
Crystal system ... cubic
Space-group type ... F-43m, No. 216
Calculated density ... 9.94 g cm⁻³
V ... 69 Å³ per cell
Total magnetic moment ... 2.6 μB per formula unit

B.
The following is a DFT calculation (PBE) of a relaxed structure of LuFeAsPd.

Cell lengths 4.531, 4.531, 4.531 Å; angles 60.00, 60.00, 60.00 degrees
Atoms (fractional coordinates):
1 Lu 0.000 0.000 0.000
2 Fe 0.750 0.750 0.750
3 As 0.500 0.500 0.500
4 Pd 0.250 0.250 0.250

Values from the calculation:
Crystal system ... cubic
Space-group type ... F-43m, No. 216
Calculated density ... 10.41 g cm⁻³
V ... 66 Å³ per cell
Total magnetic moment ... 1.9 μB per formula unit

Energy comparison, zero being the most stable, in meV/atom: A 0; B 74.

A.
The following is a DFT calculation (PBE) of a relaxed structure of LuFeAsPt.

Cell lengths 4.625, 4.625, 4.625 Å; angles 60.00, 60.00, 60.00 degrees
Atoms (fractional coordinates):
1 Lu 0.000 0.000 0.000
2 Fe 0.500 0.500 0.500
3 As 0.250 0.250 0.250
4 Pt 0.750 0.750 0.750

Values from the calculation:
Crystal system ... cubic
Space-group type ... F-43m, No. 216
Calculated density ... 11.89 g cm⁻³
V ... 70 Å³ per cell
Total magnetic moment ... 2.9 μB per formula unit

B.
The following is a DFT calculation (PBE) of a relaxed structure of LuFeAsPt.

Cell lengths 4.562, 4.562, 4.562 Å; angles 60.00, 60.00, 60.00 degrees
Atoms (fractional coordinates):
1 Lu 0.000 0.000 0.000
2 Fe 0.750 0.750 0.750
3 As 0.500 0.500 0.500
4 Pt 0.250 0.250 0.250

Values from the calculation:
Crystal system ... cubic
Space-group type ... F-43m, No. 216
Calculated density ... 12.38 g cm⁻³
V ... 67 Å³ per cell
Total magnetic moment ... 1.9 μB per formula unit

Energy comparison, zero being the most stable, in meV/atom: A 0; B 100.

A.
The following is a DFT calculation (PBE) of a relaxed structure of LuFeReAs.

Cell lengths 4.573, 4.573, 4.573 Å; angles 60.00, 60.00, 60.00 degrees
Atoms (fractional coordinates):
1 Lu 0.000 0.000 0.000
2 Fe 0.500 0.500 0.500
3 Re 0.750 0.750 0.750
4 As 0.250 0.250 0.250

Values from the calculation:
Crystal system ... cubic
Space-group type ... F-43m, No. 216
Calculated density ... 12.08 g cm⁻³
V ... 68 Å³ per cell
Total magnetic moment ... 4.1 μB per formula unit

B.
The following is a DFT calculation (PBE) of a relaxed structure of LuFeReAs.

Cell lengths 4.436, 4.436, 4.436 Å; angles 60.00, 60.00, 60.00 degrees
Atoms (fractional coordinates):
1 Lu 0.000 0.000 0.000
2 Fe 0.750 0.750 0.750
3 Re 0.250 0.250 0.250
4 As 0.500 0.500 0.500

Values from the calculation:
Crystal system ... cubic
Space-group type ... F-43m, No. 216
Calculated density ... 13.24 g cm⁻³
V ... 62 Å³ per cell
Total magnetic moment ... 1.0 μB per formula unit

Energy comparison, zero being the most stable, in meV/atom: A 119; B 0.

A.
The following is a DFT calculation (PBE) of a relaxed structure of MgTaFeAs.

Cell lengths 4.467, 4.467, 4.467 Å; angles 60.00, 60.00, 60.00 degrees
Atoms (fractional coordinates):
1 Mg 0.000 0.000 0.000
2 Ta 0.750 0.750 0.750
3 Fe 0.500 0.500 0.500
4 As 0.250 0.250 0.250

Values from the calculation:
Crystal system ... cubic
Space-group type ... F-43m, No. 216
Calculated density ... 8.86 g cm⁻³
V ... 63 Å³ per cell
Total magnetic moment ... 0.8 μB per formula unit

B.
The following is a DFT calculation (PBE) of a relaxed structure of MgTaFeAs.

Cell lengths 4.431, 4.431, 4.431 Å; angles 60.00, 60.00, 60.00 degrees
Atoms (fractional coordinates):
1 Mg 0.000 0.000 0.000
2 Ta 0.250 0.250 0.250
3 Fe 0.750 0.750 0.750
4 As 0.500 0.500 0.500

Values from the calculation:
Crystal system ... cubic
Space-group type ... F-43m, No. 216
Calculated density ... 9.07 g cm⁻³
V ... 62 Å³ per cell
Total magnetic moment ... 2.0 μB per formula unit

Energy comparison, zero being the most stable, in meV/atom: A 0; B 29.

A.
The following is a DFT calculation (PBE) of a relaxed structure of MgFeAsW.

Cell lengths 4.355, 4.355, 4.355 Å; angles 60.00, 60.00, 60.00 degrees
Atoms (fractional coordinates):
1 Mg 0.000 0.000 0.000
2 Fe 0.750 0.750 0.750
3 As 0.500 0.500 0.500
4 W 0.250 0.250 0.250

Values from the calculation:
Crystal system ... cubic
Space-group type ... F-43m, No. 216
Calculated density ... 9.63 g cm⁻³
V ... 58 Å³ per cell
Total magnetic moment ... 2.0 μB per formula unit

B.
The following is a DFT calculation (PBE) of a relaxed structure of MgFeAsW.

Cell lengths 4.397, 4.397, 4.397 Å; angles 60.00, 60.00, 60.00 degrees
Atoms (fractional coordinates):
1 Mg 0.000 0.000 0.000
2 Fe 0.500 0.500 0.500
3 As 0.250 0.250 0.250
4 W 0.750 0.750 0.750

Values from the calculation:
Crystal system ... cubic
Space-group type ... F-43m, No. 216
Calculated density ... 9.36 g cm⁻³
V ... 60 Å³ per cell
Total magnetic moment ... 2.6 μB per formula unit

Energy comparison, zero being the most stable, in meV/atom: A 0; B 93.

A.
The following is a DFT calculation (PBE) of a relaxed structure of MgZrFeAs.

Cell lengths 4.494, 4.494, 4.494 Å; angles 60.00, 60.00, 60.00 degrees
Atoms (fractional coordinates):
1 Mg 0.000 0.000 0.000
2 Zr 0.750 0.750 0.750
3 Fe 0.500 0.500 0.500
4 As 0.250 0.250 0.250

Values from the calculation:
Crystal system ... cubic
Space-group type ... F-43m, No. 216
Calculated density ... 6.37 g cm⁻³
V ... 64 Å³ per cell
Total magnetic moment ... 0.5 μB per formula unit

B.
The following is a DFT calculation (PBE) of a relaxed structure of MgZrFeAs.

Cell lengths 4.567, 4.567, 4.567 Å; angles 60.00, 60.00, 60.00 degrees
Atoms (fractional coordinates):
1 Mg 0.000 0.000 0.000
2 Zr 0.250 0.250 0.250
3 Fe 0.750 0.750 0.750
4 As 0.500 0.500 0.500

Values from the calculation:
Crystal system ... cubic
Space-group type ... F-43m, No. 216
Calculated density ... 6.07 g cm⁻³
V ... 67 Å³ per cell
Total magnetic moment ... 1.9 μB per formula unit

Energy comparison, zero being the most stable, in meV/atom: A 0; B 72.

A.
The following is a DFT calculation (PBE) of a relaxed structure of FeNiMoAs.

Cell lengths 4.175, 4.175, 4.175 Å; angles 60.00, 60.00, 60.00 degrees
Atoms (fractional coordinates):
1 Fe 0.000 0.000 0.000
2 Ni 0.750 0.750 0.750
3 Mo 0.250 0.250 0.250
4 As 0.500 0.500 0.500

Values from the calculation:
Crystal system ... cubic
Space-group type ... F-43m, No. 216
Calculated density ... 9.21 g cm⁻³
V ... 51 Å³ per cell
Total magnetic moment ... 2.1 μB per formula unit

B.
The following is a DFT calculation (PBE) of a relaxed structure of FeNiMoAs.

Cell lengths 4.199, 4.199, 4.199 Å; angles 60.00, 60.00, 60.00 degrees
Atoms (fractional coordinates):
1 Fe 0.000 0.000 0.000
2 Ni 0.250 0.250 0.250
3 Mo 0.500 0.500 0.500
4 As 0.750 0.750 0.750

Values from the calculation:
Crystal system ... cubic
Space-group type ... F-43m, No. 216
Calculated density ... 9.05 g cm⁻³
V ... 52 Å³ per cell
Total magnetic moment ... 1.7 μB per formula unit

Energy comparison, zero being the most stable, in meV/atom: A 44; B 0.